(1)
# Sm3Ga5O12

A geometry-optimized Sm3Ga5O12 structure (GGA-PBEsol, Alexandria).

Values from the calculation:
Size of the total moment (μB per atom): 0.000
Total energy (eV for the cell shown): -1170.61
Raw formation energy (kJ/mol of formula units): -4955

Structure (CIF):
```
data_Sm3Ga5O12
_symmetry_space_group_name_H-M 'I a -3 d'
_symmetry_Int_Tables_number 230
_symmetry_space_group_name_Hall '-I 4bd 2c 3'
_cell_length_a 12.405
_cell_length_b 12.405
_cell_length_c 12.405
_cell_angle_alpha 90.00
_cell_angle_beta 90.00
_cell_angle_gamma 90.00
loop_
_atom_site_label
_atom_site_fract_x
_atom_site_fract_y
_atom_site_fract_z
Sm1 0.000 0.250 0.125
Ga1 0.000 0.000 0.000
Ga2 0.000 0.250 0.375
O1 0.029 0.054 0.649
```


(2)
# TcSbMoI2

A geometry-optimized TcSbMoI2 structure (GGA-PBEsol, Alexandria).

Values from the calculation:
Size of the total moment (μB per atom): 1.358
Total energy (eV for the cell shown): -23.65
Raw formation energy (kJ/mol of formula units): 721

Structure (CIF):
```
data_TcSbMoI2
_symmetry_space_group_name_H-M 'P 4/m m m'
_symmetry_Int_Tables_number 123
_symmetry_space_group_name_Hall '-P 4 2'
_cell_length_a 5.406
_cell_length_b 5.406
_cell_length_c 5.257
_cell_angle_alpha 90.00
_cell_angle_beta 90.00
_cell_angle_gamma 90.00
loop_
_atom_site_label
_atom_site_fract_x
_atom_site_fract_y
_atom_site_fract_z
Tc1 0.000 0.000 0.000
Sb1 0.500 0.500 0.000
Mo1 0.500 0.500 0.500
I1 0.000 0.500 0.500
```